Material: Ge2W4N
Method: DFT, GGA-PBE
State: optimized geometry

## Properties
Density of states at the Fermi level ... 8.51 states/eV per cell
Formation energy without anion corrections ... 0.39 eV per atom
Uncorrected energy ... -9.525 eV/atom
ρ ... 13.8 g cm⁻³

Cell lengths 4.0834, 4.0834, 12.9587 Å; angles 90.00, 90.00, 90.00 degrees
With the nearest neighbours (Å) after each atom.
Positions (direct):
Ge (0.0000, 0.0000, 0.1433)  5 W 2.54-2.76
Ge (0.0000, 0.0000, 0.8567)  5 W 2.54-2.76
Ge (0.5000, 0.5000, 0.3567)  5 W 2.54-2.76
Ge (0.5000, 0.5000, 0.6433)  5 W 2.54-2.76
W (0.0000, 0.0000, 0.3396)  1 N 2.08
W (0.0000, 0.0000, 0.6604)  1 N 2.08
W (0.0000, 0.5000, 0.0000)  2 N 2.04
W (0.0000, 0.5000, 0.5000)  2 N 2.04
W (0.5000, 0.0000, 0.0000)  2 N 2.04
W (0.5000, 0.0000, 0.5000)  2 N 2.04
W (0.5000, 0.5000, 0.1604)  1 N 2.08
W (0.5000, 0.5000, 0.8396)  1 N 2.08
N (0.0000, 0.0000, 0.5000)  6 W 2.04-2.08
N (0.5000, 0.5000, 0.0000)  6 W 2.04-2.08